<i>
A plane-wave DFT calculation with PBE-GGA was carried out for crystalline TbDy2 at its relaxed geometry.

Cell: 8.821 8.821 8.821 Å, 60.00 60.00 60.00°
Sites, in units of the cell vectors:
Dy: 0.375 0.375 0.875
Dy: 0.875 0.375 0.375
Dy: 0.375 0.375 0.375
Tb: 0.250 0.250 0.250
Tb: 0.500 0.500 0.500
Dy: 0.375 0.875 0.375

---

<ii>
A plane-wave DFT calculation with PBE-GGA was carried out for crystalline TbDy2 at its relaxed geometry.

Cell: 6.546 6.546 6.546 Å, 60.00 60.00 60.00°
Sites, in units of the cell vectors:
Dy: 0.625 0.625 0.125
Dy: 0.125 0.625 0.625
Tb: 0.250 0.250 0.250
Dy: 0.625 0.625 0.625
Tb: 0.000 0.000 0.000
Dy: 0.625 0.125 0.625

---

<ii> has the most favorable energy; the next structure is 2366 meV/atom above.

---

<i>
A plane-wave DFT calculation with PBE-GGA was carried out for crystalline TbDyTe2 at its relaxed geometry.

Cell: 7.671 7.671 4.052 Å, 90.00 90.00 90.00°
Sites, in units of the cell vectors:
Te: 0.283 0.217 0.667
Te: 0.783 0.283 0.333
Te: 0.217 0.717 0.333
Te: 0.717 0.783 0.667
Tb: 0.500 0.000 0.171
Dy: 0.500 0.500 0.000
Dy: 0.000 0.000 0.000
Tb: 0.000 0.500 0.829

---

<ii>
A plane-wave DFT calculation with PBE-GGA was carried out for crystalline TbDyTe2 at its relaxed geometry.

Cell: 4.218 4.218 7.679 Å, 90.00 90.00 120.00°
Sites, in units of the cell vectors:
Dy: 0.000 0.000 0.500
Te: 0.667 0.333 0.748
Tb: 0.000 0.000 0.000
Te: 0.333 0.667 0.252

---

<iii>
A plane-wave DFT calculation with PBE-GGA was carried out for crystalline TbDyTe2 at its relaxed geometry.

Cell: 4.355 4.355 6.166 Å, 90.00 90.00 90.00°
Sites, in units of the cell vectors:
Te: 0.500 0.500 0.000
Tb: 0.500 0.500 0.500
Dy: 0.000 0.000 0.000
Te: 0.000 0.000 0.500

---

<ii> has the most favorable energy; the next structure is 17 meV/atom above.

---

<i>
A plane-wave DFT calculation with PBE-GGA was carried out for crystalline DyTcTe at its relaxed geometry.

Cell: 4.800 4.800 4.800 Å, 60.00 60.00 60.00°
Sites, in units of the cell vectors:
Tc: 0.250 0.250 0.250
Te: 0.750 0.750 0.750
Dy: 0.000 0.000 0.000

---

<ii>
A plane-wave DFT calculation with PBE-GGA was carried out for crystalline DyTcTe at its relaxed geometry.

Cell: 4.709 4.709 4.709 Å, 60.00 60.00 60.00°
Sites, in units of the cell vectors:
Dy: 0.250 0.250 0.250
Te: 0.000 0.000 0.000
Tc: 0.750 0.750 0.750

---

<ii> has the most favorable energy; the next structure is 450 meV/atom above.

---

<i>
A plane-wave DFT calculation with PBE-GGA was carried out for crystalline DyTlTc at its relaxed geometry.

Cell: 4.735 4.735 4.735 Å, 60.00 60.00 60.00°
Sites, in units of the cell vectors:
Dy: 0.250 0.250 0.250
Tl: 0.000 0.000 0.000
Tc: 0.750 0.750 0.750

---

<ii>
A plane-wave DFT calculation with PBE-GGA was carried out for crystalline DyTlTc at its relaxed geometry.

Cell: 4.807 4.807 4.807 Å, 60.00 60.00 60.00°
Sites, in units of the cell vectors:
Dy: 0.000 0.000 0.000
Tc: 0.250 0.250 0.250
Tl: 0.750 0.750 0.750

---

<i> has the most favorable energy; the next structure is 352 meV/atom above.

---

<i>
A plane-wave DFT calculation with PBE-GGA was carried out for crystalline DyTlTe at its relaxed geometry.

Cell: 5.185 5.185 5.185 Å, 60.00 60.00 60.00°
Sites, in units of the cell vectors:
Te: 0.000 0.000 0.000
Dy: 0.250 0.250 0.250
Tl: 0.750 0.750 0.750

---

<ii>
A plane-wave DFT calculation with PBE-GGA was carried out for crystalline DyTlTe at its relaxed geometry.

Cell: 5.182 5.182 5.182 Å, 60.00 60.00 60.00°
Sites, in units of the cell vectors:
Tl: 0.750 0.750 0.750
Dy: 0.000 0.000 0.000
Te: 0.250 0.250 0.250

---

<i> has the most favorable energy; the next structure is 11 meV/atom above.

---

<i>
A plane-wave DFT calculation with PBE-GGA was carried out for crystalline DyTlZnTe3 at its relaxed geometry.

Cell: 9.093 4.621 17.629 Å, 90.00 90.00 90.00°
Sites, in units of the cell vectors:
Tl: 0.429 0.250 0.710
Tl: 0.929 0.250 0.790
Dy: 0.247 0.750 0.955
Te: 0.800 0.250 0.212
Zn: 0.631 0.750 0.857
Te: 0.002 0.250 0.587
Tl: 0.071 0.750 0.210
Te: 0.700 0.750 0.712
Dy: 0.753 0.250 0.045
Te: 0.498 0.750 0.087
Te: 0.502 0.250 0.913
Te: 0.200 0.750 0.788
Te: 0.373 0.750 0.553
Dy: 0.253 0.250 0.455
Te: 0.300 0.250 0.288
Te: 0.998 0.750 0.413
Zn: 0.869 0.250 0.357
Te: 0.627 0.250 0.447
Zn: 0.131 0.750 0.643
Te: 0.127 0.250 0.053
Zn: 0.369 0.250 0.143
Te: 0.873 0.750 0.947
Dy: 0.747 0.750 0.545
Tl: 0.571 0.750 0.290

---

<ii>
A plane-wave DFT calculation with PBE-GGA was carried out for crystalline DyTlZnTe3 at its relaxed geometry.

Cell: 4.494 12.531 13.315 Å, 90.00 90.00 90.00°
Sites, in units of the cell vectors:
Te: 0.250 0.538 0.655
Te: 0.250 0.403 0.936
Dy: 0.250 0.974 0.319
Zn: 0.750 0.255 0.300
Zn: 0.250 0.245 0.800
Tl: 0.750 0.681 0.507
Te: 0.750 0.276 0.689
Te: 0.250 0.224 0.189
Dy: 0.750 0.026 0.681
Zn: 0.250 0.745 0.700
Te: 0.750 0.462 0.345
Te: 0.250 0.724 0.311
Te: 0.750 0.776 0.811
Tl: 0.250 0.319 0.493
Tl: 0.250 0.819 0.007
Tl: 0.750 0.181 0.993
Te: 0.750 0.097 0.436
Dy: 0.250 0.474 0.181
Te: 0.250 0.038 0.845
Te: 0.750 0.597 0.064
Te: 0.250 0.903 0.564
Dy: 0.750 0.526 0.819
Zn: 0.750 0.755 0.200
Te: 0.750 0.962 0.155

---

<ii> has the most favorable energy; the next structure is 58 meV/atom above.

---

<i>
A plane-wave DFT calculation with PBE-GGA was carried out for crystalline DyTlZnTe3 at its relaxed geometry.

Cell: 8.855 4.354 11.176 Å, 90.00 109.04 90.00°
Sites, in units of the cell vectors:
Dy: 0.689 0.250 0.142
Dy: 0.311 0.750 0.858
Tl: 0.736 0.750 0.707
Te: 0.769 0.250 0.443
Zn: 0.079 0.250 0.611
Te: 0.231 0.750 0.557
Tl: 0.264 0.250 0.293
Te: 0.941 0.750 0.158
Te: 0.059 0.250 0.842
Te: 0.556 0.250 0.854
Te: 0.444 0.750 0.146
Zn: 0.921 0.750 0.389

---

<ii>
A plane-wave DFT calculation with PBE-GGA was carried out for crystalline DyTlZnTe3 at its relaxed geometry.

Cell: 8.061 8.061 11.571 Å, 90.00 90.00 31.31°
Sites, in units of the cell vectors:
Dy: 0.000 0.000 0.500
Tl: 0.245 0.245 0.750
Te: 0.072 0.072 0.250
Zn: 0.537 0.537 0.750
Dy: 0.000 0.000 0.000
Te: 0.928 0.928 0.750
Tl: 0.755 0.755 0.250
Te: 0.366 0.366 0.060
Zn: 0.463 0.463 0.250
Te: 0.634 0.634 0.560
Te: 0.634 0.634 0.940
Te: 0.366 0.366 0.440

---

<iii>
A plane-wave DFT calculation with PBE-GGA was carried out for crystalline DyTlZnTe3 at its relaxed geometry.

Cell: 15.808 4.368 11.726 Å, 90.00 90.00 90.00°
Sites, in units of the cell vectors:
Zn: 0.983 0.750 0.400
Tl: 0.260 0.250 0.036
Te: 0.101 0.750 0.080
Te: 0.145 0.250 0.748
Te: 0.355 0.750 0.248
Tl: 0.760 0.250 0.464
Te: 0.586 0.250 0.116
Tl: 0.740 0.750 0.964
Te: 0.414 0.750 0.884
Te: 0.399 0.250 0.580
Tl: 0.240 0.750 0.536
Te: 0.086 0.250 0.384
Te: 0.899 0.250 0.920
Te: 0.855 0.750 0.252
Te: 0.645 0.250 0.752
Te: 0.601 0.750 0.420
Zn: 0.517 0.250 0.900
Zn: 0.017 0.250 0.600
Te: 0.914 0.750 0.616
Dy: 0.975 0.250 0.158
Dy: 0.475 0.250 0.342
Zn: 0.483 0.750 0.100
Dy: 0.525 0.750 0.658
Dy: 0.025 0.750 0.842

---

<iv>
A plane-wave DFT calculation with PBE-GGA was carried out for crystalline DyTlZnTe3 at its relaxed geometry.

Cell: 10.075 10.075 9.294 Å, 102.05 102.05 25.33°
Sites, in units of the cell vectors:
Zn: 0.466 0.466 0.277
Te: 0.000 0.000 0.500
Te: 0.500 0.500 0.000
Te: 0.671 0.671 0.351
Te: 0.329 0.329 0.196
Tl: 0.866 0.866 0.932
Dy: 0.828 0.828 0.424
Tl: 0.134 0.134 0.068
Te: 0.329 0.329 0.649
Dy: 0.172 0.172 0.576
Te: 0.671 0.671 0.804
Zn: 0.534 0.534 0.723

---

<ii> has the most favorable energy; the next structure is 15 meV/atom above.

---

<i>
A plane-wave DFT calculation with PBE-GGA was carried out for crystalline DyTmTe2 at its relaxed geometry.

Cell: 7.644 7.644 4.063 Å, 90.00 90.00 90.00°
Sites, in units of the cell vectors:
Dy: 0.500 0.000 0.689
Te: 0.284 0.216 0.187
Te: 0.716 0.784 0.187
Tm: 0.000 0.000 0.500
Te: 0.216 0.716 0.813
Dy: 0.000 0.500 0.311
Tm: 0.500 0.500 0.500
Te: 0.784 0.284 0.813

---

<ii>
A plane-wave DFT calculation with PBE-GGA was carried out for crystalline DyTmTe2 at its relaxed geometry.

Cell: 4.320 4.320 6.116 Å, 90.00 90.00 90.00°
Sites, in units of the cell vectors:
Dy: 0.000 0.000 0.000
Tm: 0.500 0.500 0.500
Te: 0.000 0.000 0.500
Te: 0.500 0.500 0.000

---

<ii> has the most favorable energy; the next structure is 155 meV/atom above.

---

<i>
A plane-wave DFT calculation with PBE-GGA was carried out for crystalline DyTm at its relaxed geometry.

Cell: 4.539 4.539 4.539 Å, 60.00 60.00 60.00°
Sites, in units of the cell vectors:
Dy: 0.000 0.000 0.000
Tm: 0.500 0.500 0.500

---

<ii>
A plane-wave DFT calculation with PBE-GGA was carried out for crystalline DyTm at its relaxed geometry.

Cell: 3.575 3.575 5.549 Å, 90.00 90.00 120.00°
Sites, in units of the cell vectors:
Dy: 0.667 0.333 0.750
Tm: 0.333 0.667 0.250

---

<ii> has the most favorable energy; the next structure is 805 meV/atom above.

---

<i>
A plane-wave DFT calculation with PBE-GGA was carried out for crystalline DyTm at its relaxed geometry.

Cell: 5.556 7.159 7.159 Å, 60.00 90.00 90.00°
Sites, in units of the cell vectors:
Tm: 0.500 0.667 0.166
Tm: 0.000 0.833 0.833
Dy: 0.000 0.333 0.834
Dy: 0.500 0.667 0.667
Dy: 0.000 0.834 0.333
Dy: 0.000 0.333 0.333
Tm: 0.500 0.166 0.166
Tm: 0.500 0.166 0.667

---

<ii>
A plane-wave DFT calculation with PBE-GGA was carried out for crystalline DyTm at its relaxed geometry.

Cell: 4.978 4.978 4.978 Å, 60.00 60.00 60.00°
Sites, in units of the cell vectors:
Tm: 0.250 0.250 0.250
Dy: 0.000 0.000 0.000

---

<i> has the most favorable energy; the next structure is 1985 meV/atom above.

---

<i>
A plane-wave DFT calculation with PBE-GGA was carried out for crystalline DyU at its relaxed geometry.

Cell: 4.337 4.337 4.337 Å, 60.00 60.00 60.00°
Sites, in units of the cell vectors:
Dy: 0.000 0.000 0.000
U: 0.250 0.250 0.250

---

<ii>
A plane-wave DFT calculation with PBE-GGA was carried out for crystalline DyU at its relaxed geometry.

Cell: 4.379 4.379 4.379 Å, 60.00 60.00 60.00°
Sites, in units of the cell vectors:
Dy: 0.000 0.000 0.000
U: 0.500 0.500 0.500

---

<ii> has the most favorable energy; the next structure is 1003 meV/atom above.